# 1
An optimized crystal structure of HfZr3Sc2N6, computed with GGA-PBE.

Cell lengths 5.5822, 5.5822, 5.6174 Å; angles 99.56, 99.56, 119.98 degrees
Closest atoms and distances in Å follow each position.
Fractional coordinates of all 12 atoms:
1 Hf 0.0000 0.0000 0.0000  6 N 2.25
2 Zr 0.1691 0.8309 0.5000  6 N 2.30-2.31
3 Zr 0.5000 0.5000 0.5000  6 N 2.30-2.32
4 Zr 0.8309 0.1691 0.5000  6 N 2.30-2.31
5 Sc 0.3331 0.6669 0.0000  6 N 2.26-2.28
6 Sc 0.6669 0.3331 0.0000  6 N 2.26-2.28
7 N 0.0807 0.4114 0.2422  1 Hf 2.25, 2 Sc 2.26-2.27, 3 Zr 2.30
8 N 0.2486 0.2486 0.7553  1 Hf 2.25, 2 Sc 2.28, 3 Zr 2.31-2.32
9 N 0.4114 0.0807 0.2422  1 Hf 2.25, 2 Sc 2.26-2.27, 3 Zr 2.30
10 N 0.5886 0.9193 0.7578  1 Hf 2.25, 2 Sc 2.26-2.27, 3 Zr 2.30
11 N 0.7514 0.7514 0.2447  1 Hf 2.25, 2 Sc 2.28, 3 Zr 2.31-2.32
12 N 0.9193 0.5886 0.7578  1 Hf 2.25, 2 Sc 2.26-2.27, 3 Zr 2.30

---

# 2
An optimized crystal structure of Hf2ZrScN, computed with GGA-PBE.

Summary:
Its energy above the most stable polymorph in this dataset is 0.019 eV per atom.

Cell lengths 4.5180, 4.5180, 4.5199 Å; angles 90.00, 90.00, 90.00 degrees
Closest atoms and distances in Å follow each position.
Fractional coordinates of all 5 atoms:
1 Hf 0.0000 0.5000 0.0000  2 N 2.26
2 Hf 0.5000 0.0000 0.0000  2 N 2.26
3 Zr 0.0000 0.0000 0.5000  4 Sc 3.19, 8 Hf 3.20
4 Sc 0.5000 0.5000 0.5000  2 N 2.26
5 N 0.5000 0.5000 0.0000  4 Hf 2.26, 2 Sc 2.26

---

# 3
An optimized crystal structure of HfZr3Sc3N8, computed with GGA-PBE.

Cell lengths 6.4312, 6.4312, 6.4312 Å; angles 60.14, 60.14, 60.14 degrees
Closest atoms and distances in Å follow each position.
Fractional coordinates of all 15 atoms:
1 Hf 0.0000 0.0000 0.0000  6 N 2.18
2 Zr 0.0000 0.5000 0.5000  6 N 2.26-2.28
3 Zr 0.5000 0.0000 0.5000  6 N 2.26-2.28
4 Zr 0.5000 0.5000 0.0000  6 N 2.26-2.28
5 Sc 0.0000 0.0000 0.5000  6 N 2.27-2.29
6 Sc 0.0000 0.5000 0.0000  6 N 2.27-2.29
7 Sc 0.5000 0.0000 0.0000  6 N 2.27-2.29
8 N 0.2389 0.2389 0.7579  1 Hf 2.18, 2 Zr 2.26, 2 Sc 2.29
9 N 0.2389 0.7579 0.2389  1 Hf 2.18, 2 Zr 2.26, 2 Sc 2.29
10 N 0.2421 0.7611 0.7611  1 Hf 2.18, 2 Zr 2.26, 2 Sc 2.29
11 N 0.2497 0.2497 0.2497  3 Sc 2.27, 3 Zr 2.28
12 N 0.7503 0.7503 0.7503  3 Sc 2.27, 3 Zr 2.28
13 N 0.7579 0.2389 0.2389  1 Hf 2.18, 2 Zr 2.26, 2 Sc 2.29
14 N 0.7611 0.2421 0.7611  1 Hf 2.18, 2 Zr 2.26, 2 Sc 2.29
15 N 0.7611 0.7611 0.2421  1 Hf 2.18, 2 Zr 2.26, 2 Sc 2.29

---

# 4
An optimized crystal structure of HfSe2N2, computed with GGA-PBE.

Summary:
Its energy above the most stable polymorph in this dataset is 0.629 eV per atom.

Cell lengths 3.9132, 3.9132, 4.9024 Å; angles 90.00, 90.00, 90.00 degrees
Closest atoms and distances in Å follow each position.
Fractional coordinates of all 5 atoms:
1 Hf 0.0000 0.0000 0.0000  4 Se 2.77
2 Se 0.5000 0.5000 0.0000  2 Se 2.45
3 Se 0.5000 0.5000 0.5000  4 N 1.96
4 N 0.0000 0.5000 0.5000  2 Se 1.96
5 N 0.5000 0.0000 0.5000  2 Se 1.96

---

Number 1: formation energy (no corrections) -1812 meV per atom. Number 2: formation energy (no corrections) -677 meV per atom. Number 3: formation energy (no corrections) -1674 meV per atom. Number 4: formation energy (no corrections) 1098 meV per atom.